# 1
Density functional theory data (PBE+U) for an optimized crystal structure of Mn2CuTcO.

Unit cell a=5.011 b=5.011 c=3.432 alpha=90.00 beta=90.00 gamma=90.00
Last column: magnetic moment on the atom in μB.
Fractional coordinates of all 5 atoms:
Mn (0.000, 0.500, 0.000)  4.56
Cu (0.000, 0.000, 0.000)  0.15
Mn (0.500, 0.000, 0.000)  4.56
O (0.000, 0.000, 0.500)  0.12
Tc (0.500, 0.500, 0.500)  -2.17

energy relative to the lowest polymorph listed for this composition: 0.000 eV/atom
density: 5.5 g cm⁻³
space-group type: No. 123

***

# 2
Density functional theory data (PBE+U) for an optimized crystal structure of MnCuTeO6.

Unit cell a=4.640 b=4.640 c=9.109 alpha=90.00 beta=90.00 gamma=90.00
Last column: magnetic moment on the atom in μB.
Fractional coordinates of all 18 atoms:
O (0.312, 0.312, 0.000)  -0.02
O (0.188, 0.812, 0.500)  -0.02
Cu (0.500, 0.500, 0.500)  0.50
Cu (0.000, 0.000, 0.000)  0.50
O (0.803, 0.197, 0.830)  0.04
O (0.695, 0.695, 0.670)  0.02
Mn (0.000, 0.000, 0.668)  3.51
O (0.305, 0.305, 0.670)  0.02
O (0.303, 0.303, 0.330)  0.04
O (0.688, 0.688, 0.000)  -0.02
O (0.812, 0.188, 0.500)  -0.02
O (0.697, 0.697, 0.330)  0.04
Te (0.000, 0.000, 0.333)  0.03
O (0.805, 0.195, 0.170)  0.02
O (0.197, 0.803, 0.830)  0.04
Mn (0.500, 0.500, 0.168)  3.51
Te (0.500, 0.500, 0.833)  0.03
O (0.195, 0.805, 0.170)  0.02

density: 5.8 g cm⁻³
space-group type: No. 102
DFT total energy: -0.2164 Ha/atom

***

# 3
Density functional theory data (PBE+U) for an optimized crystal structure of Mn5Cu3Te16O40.

Unit cell a=8.951 b=8.951 c=12.950 alpha=90.00 beta=90.00 gamma=91.74
Last column: magnetic moment on the atom in μB.
Fractional coordinates of all 64 atoms:
O (0.927, 0.134, 0.613)  0.09
Cu (0.000, 0.000, 0.500)  0.62
O (0.742, 0.370, 0.699)  0.02
O (0.207, 0.793, 0.000)  0.01
Te (0.280, 0.822, 0.633)  0.01
O (0.769, 0.871, 0.703)  0.02
O (0.291, 0.709, 0.500)  0.01
Te (0.712, 0.815, 0.867)  0.01
Mn (0.500, 0.500, 0.251)  4.65
Te (0.822, 0.280, 0.367)  0.01
O (0.073, 0.866, 0.613)  0.09
O (0.370, 0.742, 0.301)  0.02
O (0.578, 0.633, 0.613)  0.09
O (0.258, 0.630, 0.699)  0.02
O (0.356, 0.578, 0.121)  0.02
Mn (0.000, 0.000, 0.751)  4.66
O (0.203, 0.203, 0.500)  0.01
Te (0.214, 0.682, 0.865)  0.01
Cu (0.500, 0.500, 0.500)  0.63
Mn (0.500, 0.500, 0.000)  4.62
O (0.871, 0.769, 0.297)  0.02
O (0.633, 0.578, 0.387)  0.09
Cu (0.000, 0.000, 0.000)  0.62
Te (0.815, 0.712, 0.133)  0.01
O (0.797, 0.797, 0.500)  0.01
O (0.863, 0.921, 0.111)  0.09
Te (0.214, 0.319, 0.633)  0.01
Te (0.288, 0.185, 0.867)  0.01
O (0.630, 0.258, 0.301)  0.02
O (0.367, 0.422, 0.387)  0.09
O (0.129, 0.231, 0.297)  0.02
O (0.793, 0.207, 0.000)  0.01
Te (0.786, 0.318, 0.865)  0.01
Te (0.318, 0.786, 0.135)  0.01
O (0.730, 0.625, 0.799)  0.02
Te (0.319, 0.214, 0.367)  0.01
O (0.137, 0.079, 0.111)  0.09
O (0.578, 0.356, 0.879)  0.02
Te (0.720, 0.178, 0.633)  0.01
O (0.079, 0.137, 0.889)  0.09
O (0.921, 0.863, 0.889)  0.09
Te (0.185, 0.288, 0.133)  0.01
O (0.709, 0.291, 0.500)  0.01
O (0.375, 0.270, 0.201)  0.02
O (0.227, 0.875, 0.798)  0.02
O (0.866, 0.073, 0.387)  0.09
O (0.134, 0.927, 0.387)  0.09
Te (0.682, 0.214, 0.135)  0.01
O (0.306, 0.306, 0.000)  0.02
Te (0.681, 0.786, 0.367)  0.01
O (0.125, 0.773, 0.202)  0.02
O (0.625, 0.730, 0.201)  0.02
O (0.694, 0.694, 0.000)  0.02
O (0.644, 0.422, 0.121)  0.02
O (0.270, 0.375, 0.799)  0.02
O (0.231, 0.129, 0.703)  0.02
Te (0.178, 0.720, 0.367)  0.01
Te (0.786, 0.681, 0.633)  0.01
O (0.773, 0.125, 0.798)  0.02
Mn (0.000, 0.000, 0.249)  4.66
O (0.422, 0.367, 0.613)  0.09
Mn (0.500, 0.500, 0.749)  4.65
O (0.875, 0.227, 0.202)  0.02
O (0.422, 0.644, 0.879)  0.02

density: 5.0 g cm⁻³
space-group type: No. 21
DFT total energy: -0.2121 Ha/atom

***

# 4
Density functional theory data (PBE+U) for an optimized crystal structure of MnCu2TeO8.

Unit cell a=5.586 b=5.586 c=5.586 alpha=110.71 beta=110.71 gamma=107.02
Last column: magnetic moment on the atom in μB.
Fractional coordinates of all 12 atoms:
O (0.730, 0.040, 0.691)  0.17
O (0.281, 0.098, 0.817)  -0.01
Te (0.000, 0.000, 0.000)  -0.01
O (0.902, 0.719, 0.183)  -0.01
Cu (0.750, 0.250, 0.500)  0.61
O (0.281, 0.464, 0.183)  -0.01
O (0.349, 0.040, 0.309)  0.17
O (0.536, 0.719, 0.817)  -0.01
Cu (0.500, 0.500, 0.000)  -0.38
O (0.960, 0.651, 0.691)  0.17
O (0.960, 0.270, 0.309)  0.17
Mn (0.250, 0.750, 0.500)  -3.85

density: 5.4 g cm⁻³
space-group type: No. 119
DFT total energy: -0.1968 Ha/atom

***

# 5
Density functional theory data (PBE+U) for an optimized crystal structure of MnCu2TeO6.

Unit cell a=5.253 b=5.252 c=5.655 alpha=62.29 beta=62.29 gamma=59.98
Last column: magnetic moment on the atom in μB.
Fractional coordinates of all 10 atoms:
Te (0.323, 0.323, 0.031)  0.01
O (0.944, 0.589, 0.239)  0.13
O (0.392, 0.711, 0.767)  0.15
Mn (0.808, 0.808, 0.576)  4.64
O (0.228, 0.944, 0.239)  0.13
O (0.589, 0.227, 0.239)  0.13
O (0.130, 0.393, 0.766)  0.15
Cu (0.526, 0.525, 0.424)  0.53
Cu (0.011, 0.011, 0.967)  0.69
O (0.711, 0.130, 0.766)  0.15

density: 5.9 g cm⁻³
space-group type: No. 146
DFT total energy: -0.2124 Ha/atom

***

# 6
Density functional theory data (PBE+U) for an optimized crystal structure of Mn2CuTeO6.

Unit cell a=5.031 b=5.362 c=5.810 alpha=117.48 beta=116.10 gamma=90.00
Last column: magnetic moment on the atom in μB.
Fractional coordinates of all 10 atoms:
O (0.647, 0.306, 0.611)  0.06
O (0.164, 0.163, 0.832)  0.11
Te (0.000, 0.500, 0.000)  0.04
O (0.836, 0.331, 0.168)  0.11
Mn (0.803, 0.751, 0.501)  4.63
Cu (0.500, 0.000, 0.000)  0.58
Mn (0.197, 0.249, 0.499)  4.63
O (0.164, 0.669, 0.832)  0.11
O (0.353, 0.694, 0.389)  0.06
O (0.836, 0.837, 0.168)  0.11

density: 5.5 g cm⁻³
space-group type: No. 12
DFT total energy: -0.2341 Ha/atom

***

# 7
Density functional theory data (PBE+U) for an optimized crystal structure of ThMn4Cu3O12.

Unit cell a=6.495 b=6.495 c=6.495 alpha=109.47 beta=109.47 gamma=109.47
Last column: magnetic moment on the atom in μB.
Fractional coordinates of all 20 atoms:
O (0.831, 0.133, 0.302)  -0.01
Mn (0.000, 0.500, 0.000)  3.86
Th (0.000, 0.000, 0.000)  0.03
Mn (0.500, 0.000, 0.000)  3.86
Mn (0.000, 0.000, 0.500)  3.86
Cu (0.500, 0.500, 0.000)  0.39
O (0.831, 0.529, 0.698)  -0.01
O (0.302, 0.831, 0.133)  -0.01
O (0.698, 0.831, 0.529)  -0.01
O (0.698, 0.169, 0.867)  -0.01
Cu (0.000, 0.500, 0.500)  0.39
O (0.867, 0.698, 0.169)  -0.01
O (0.169, 0.471, 0.302)  -0.01
O (0.471, 0.302, 0.169)  -0.01
O (0.302, 0.169, 0.471)  -0.01
Mn (0.500, 0.500, 0.500)  3.86
O (0.169, 0.867, 0.698)  -0.01
O (0.529, 0.698, 0.831)  -0.01
O (0.133, 0.302, 0.831)  -0.01
Cu (0.500, 0.000, 0.500)  0.39

density: 6.6 g cm⁻³
space-group type: No. 204
DFT total energy: -0.2564 Ha/atom

***

# 8
Density functional theory data (PBE+U) for an optimized crystal structure of TiMn2CuO6.

Unit cell a=5.091 b=5.130 c=5.591 alpha=61.87 beta=62.43 gamma=59.96
Last column: magnetic moment on the atom in μB.
Fractional coordinates of all 10 atoms:
O (0.228, 0.934, 0.229)  -0.08
Mn (0.014, 0.012, 0.961)  3.70
Mn (0.519, 0.516, 0.447)  4.29
O (0.394, 0.730, 0.755)  -0.16
O (0.609, 0.224, 0.229)  -0.07
O (0.936, 0.604, 0.223)  -0.07
Cu (0.796, 0.803, 0.605)  -0.52
Ti (0.314, 0.312, 0.061)  0.11
O (0.727, 0.128, 0.754)  -0.16
O (0.124, 0.397, 0.751)  -0.17

density: 4.9 g cm⁻³
space-group type: No. 1
DFT total energy: -0.2724 Ha/atom

***

# 9
Density functional theory data (PBE+U) for an optimized crystal structure of MnTlCuO2.

Unit cell a=5.160 b=5.734 c=6.081 alpha=102.36 beta=90.00 gamma=90.00
Last column: magnetic moment on the atom in μB.
Fractional coordinates of all 10 atoms:
O (0.702, 0.819, 0.972)  0.05
Mn (0.482, 0.000, 0.250)  4.54
O (0.702, 0.181, 0.528)  0.05
Tl (0.181, 0.500, 0.750)  0.02
O (0.298, 0.819, 0.472)  0.05
Tl (0.819, 0.500, 0.250)  0.02
Mn (0.518, 0.000, 0.750)  4.54
Cu (0.000, 0.000, 0.000)  0.05
O (0.298, 0.181, 0.028)  0.05
Cu (0.000, 0.000, 0.500)  0.05

density: 6.7 g cm⁻³
space-group type: No. 13
DFT total energy: -0.2069 Ha/atom

***

# 10
Density functional theory data (PBE+U) for an optimized crystal structure of Mn4TlCu3O12.

Unit cell a=6.452 b=6.452 c=6.452 alpha=109.47 beta=109.47 gamma=109.47
Last column: magnetic moment on the atom in μB.
Fractional coordinates of all 20 atoms:
O (0.482, 0.310, 0.171)  -0.05
O (0.171, 0.861, 0.690)  -0.05
O (0.518, 0.690, 0.829)  -0.05
Cu (0.500, 0.000, 0.500)  0.17
O (0.829, 0.518, 0.690)  -0.05
Mn (0.000, 0.000, 0.500)  3.83
O (0.310, 0.171, 0.482)  -0.05
Mn (0.000, 0.500, 0.000)  3.83
Cu (0.500, 0.500, 0.000)  0.17
O (0.861, 0.690, 0.171)  -0.05
O (0.171, 0.482, 0.310)  -0.05
O (0.139, 0.310, 0.829)  -0.05
O (0.690, 0.171, 0.861)  -0.05
O (0.829, 0.139, 0.310)  -0.05
Mn (0.500, 0.000, 0.000)  3.83
Tl (0.000, 0.000, 0.000)  0.04
O (0.310, 0.829, 0.139)  -0.05
O (0.690, 0.829, 0.518)  -0.05
Mn (0.500, 0.500, 0.500)  3.83
Cu (0.000, 0.500, 0.500)  0.17

density: 6.5 g cm⁻³
space-group type: No. 204
DFT total energy: -0.2284 Ha/atom

***

# 11
Density functional theory data (PBE+U) for an optimized crystal structure of MnTl2CuO.

Unit cell a=5.449 b=3.619 c=5.449 alpha=90.00 beta=90.00 gamma=90.00
Last column: magnetic moment on the atom in μB.
Fractional coordinates of all 5 atoms:
Tl (0.500, 0.000, 0.000)  -0.04
Tl (0.000, 0.000, 0.500)  -0.03
Mn (0.500, 0.500, 0.500)  4.59
Cu (0.000, 0.500, 0.000)  0.00
O (0.000, 0.000, 0.000)  -0.01

density: 8.4 g cm⁻³
space-group type: No. 123
DFT total energy: -0.1566 Ha/atom

***

# 12
Density functional theory data (PBE+U) for an optimized crystal structure of UMnCuO6.

Unit cell a=5.142 b=5.142 c=8.977 alpha=90.00 beta=90.00 gamma=120.00
Last column: magnetic moment on the atom in μB.
Fractional coordinates of all 18 atoms:
O (0.001, 0.320, 0.124)  0.00
U (0.667, 0.333, 0.250)  0.06
O (0.999, 0.680, 0.876)  0.00
U (0.333, 0.667, 0.750)  0.06
O (0.681, 0.680, 0.624)  0.00
O (0.001, 0.681, 0.376)  0.00
O (0.999, 0.319, 0.624)  0.00
Mn (0.000, 0.000, 0.500)  3.46
Cu (0.333, 0.667, 0.250)  0.38
O (0.320, 0.001, 0.624)  0.00
O (0.681, 0.001, 0.876)  0.00
O (0.319, 0.999, 0.124)  0.00
Mn (0.000, 0.000, 0.000)  3.46
Cu (0.667, 0.333, 0.750)  0.38
O (0.319, 0.320, 0.376)  0.00
O (0.680, 0.999, 0.376)  0.00
O (0.320, 0.319, 0.876)  0.00
O (0.680, 0.681, 0.124)  0.00

density: 7.3 g cm⁻³
space-group type: No. 163
DFT total energy: -0.2803 Ha/atom

***

# 13
Density functional theory data (PBE+U) for an optimized crystal structure of MnVCuO6.

Unit cell a=4.910 b=4.910 c=8.653 alpha=90.00 beta=90.00 gamma=120.00
Last column: magnetic moment on the atom in μB.
Fractional coordinates of all 18 atoms:
O (0.650, 0.647, 0.630)  -0.22
Mn (0.333, 0.667, 0.750)  3.02
O (0.350, 0.997, 0.130)  -0.22
Mn (0.667, 0.333, 0.250)  3.02
O (0.647, 0.997, 0.370)  -0.22
O (0.003, 0.650, 0.370)  -0.22
V (0.667, 0.333, 0.750)  0.20
V (0.333, 0.667, 0.250)  0.20
Cu (0.000, 0.000, 0.500)  -0.77
O (0.350, 0.353, 0.370)  -0.22
O (0.650, 0.003, 0.870)  -0.22
Cu (0.000, 0.000, 0.000)  -0.77
O (0.353, 0.003, 0.630)  -0.22
O (0.997, 0.350, 0.630)  -0.22
O (0.353, 0.350, 0.870)  -0.22
O (0.997, 0.647, 0.870)  -0.22
O (0.003, 0.353, 0.130)  -0.22
O (0.647, 0.650, 0.130)  -0.22

density: 4.9 g cm⁻³
space-group type: No. 163
DFT total energy: -0.2412 Ha/atom

***

# 14
Density functional theory data (PBE+U) for an optimized crystal structure of MnCuWO6.

Unit cell a=4.665 b=4.665 c=8.950 alpha=90.00 beta=90.00 gamma=90.00
Last column: magnetic moment on the atom in μB.
Fractional coordinates of all 18 atoms:
O (0.300, 0.300, 0.673)  0.04
W (0.000, 0.000, 0.669)  0.07
O (0.314, 0.314, 0.000)  -0.03
W (0.500, 0.500, 0.169)  0.07
O (0.686, 0.686, 0.000)  -0.03
O (0.800, 0.200, 0.173)  0.04
O (0.700, 0.700, 0.673)  0.04
O (0.796, 0.204, 0.825)  0.03
Cu (0.500, 0.500, 0.502)  0.51
Mn (0.000, 0.000, 0.332)  3.30
O (0.200, 0.800, 0.173)  0.04
O (0.186, 0.814, 0.500)  -0.03
Cu (0.000, 0.000, 0.002)  0.51
O (0.814, 0.186, 0.500)  -0.03
O (0.704, 0.704, 0.325)  0.03
O (0.204, 0.796, 0.825)  0.03
O (0.296, 0.296, 0.325)  0.03
Mn (0.500, 0.500, 0.832)  3.30

density: 6.8 g cm⁻³
space-group type: No. 102
DFT total energy: -0.2486 Ha/atom

***

# 15
Density functional theory data (PBE+U) for an optimized crystal structure of Y2MnCuO.

Unit cell a=4.659 b=4.504 c=4.659 alpha=90.00 beta=90.00 gamma=90.00
Last column: magnetic moment on the atom in μB.
Fractional coordinates of all 5 atoms:
Mn (0.500, 0.500, 0.500)  4.53
O (0.000, 0.000, 0.000)  0.01
Y (0.500, 0.000, 0.000)  -0.09
Y (0.000, 0.000, 0.500)  -0.05
Cu (0.000, 0.500, 0.000)  0.04

density: 5.3 g cm⁻³
space-group type: No. 123
DFT total energy: -0.2434 Ha/atom

***

# 16
Density functional theory data (PBE+U) for an optimized crystal structure of YbMn4Cu3O12.

Unit cell a=6.419 b=6.419 c=6.419 alpha=109.47 beta=109.47 gamma=109.47
Last column: magnetic moment on the atom in μB.
Fractional coordinates of all 20 atoms:
O (0.306, 0.830, 0.137)  -0.07
Cu (0.000, 0.500, 0.500)  0.07
Cu (0.500, 0.000, 0.500)  0.07
O (0.694, 0.170, 0.863)  -0.07
Mn (0.500, 0.500, 0.500)  3.74
Mn (0.500, 0.000, 0.000)  3.74
O (0.476, 0.306, 0.170)  -0.07
Yb (0.000, 0.000, 0.000)  0.44
O (0.306, 0.170, 0.476)  -0.07
O (0.830, 0.137, 0.306)  -0.07
O (0.524, 0.694, 0.830)  -0.07
Cu (0.500, 0.500, 0.000)  0.07
Mn (0.000, 0.000, 0.500)  3.74
O (0.137, 0.306, 0.830)  -0.07
O (0.170, 0.476, 0.306)  -0.07
O (0.694, 0.830, 0.524)  -0.07
O (0.863, 0.694, 0.170)  -0.07
O (0.830, 0.524, 0.694)  -0.07
O (0.170, 0.863, 0.694)  -0.07
Mn (0.000, 0.500, 0.000)  3.74

density: 6.3 g cm⁻³
space-group type: No. 204
DFT total energy: -0.2388 Ha/atom

***

# 17
Density functional theory data (PBE+U) for an optimized crystal structure of Mn2ZnCuO.

Unit cell a=4.853 b=4.335 c=4.853 alpha=90.00 beta=90.00 gamma=90.00
Last column: magnetic moment on the atom in μB.
Fractional coordinates of all 5 atoms:
Zn (0.000, 0.000, 0.000)  -0.10
O (0.500, 0.500, 0.500)  -0.35
Cu (0.000, 0.500, 0.000)  -0.03
Mn (0.000, 0.000, 0.500)  4.56
Mn (0.500, 0.000, 0.000)  4.49

density: 4.1 g cm⁻³
space-group type: No. 123
DFT total energy: -0.1510 Ha/atom